A geometry-optimized AcGaAgPd structure. Source: the Alexandria database, functional GGA-PBE.

abc: 7.178 7.178 7.178
angles: 90.00 90.00 90.00
Space group F-43m (No. 216)
Asymmetric unit:
Ac  0.000  0.000  0.000 (multiplicity 4)
Ga  0.000  0.000  0.500 (multiplicity 4)
Ag  0.250  0.250  0.250 (multiplicity 4)
Pd  0.250  0.250  0.750 (multiplicity 4)

Summary:
ΔH_f (0 K): -350 meV per atom
DOS(E_F): 14.82 states/eV per cell
E: -4.15 eV per atom
Crystal system: cubic



A geometry-optimized AcGa2AgPd4 structure. Source: the Alexandria database, functional GGA-PBE.

abc: 4.3616 4.3616 27.8176
angles: 90.00 90.00 120.00
Space group R-3m (No. 166, hexagonal axes)
Asymmetric unit:
Ac  0.0000  0.0000  0.0000 (multiplicity 3)
Ga  0.0000  0.0000  0.2336 (multiplicity 6)
Ag  0.0000  0.0000  0.5000 (multiplicity 3)
Pd  0.0000  0.0000  0.1228 (multiplicity 6)
Pd  0.0000  0.0000  0.4021 (multiplicity 6)

Summary:
ΔH_f (0 K): -576 meV per atom
DOS(E_F): 11.05 states/eV per cell
E: -4.80 eV per atom
Crystal system: trigonal



A geometry-optimized AcGa4AgPd2 structure. Source: the Alexandria database, functional GGA-PBE.

abc: 4.3910 4.3910 28.3264
angles: 90.00 90.00 120.00
Space group R-3m (No. 166, hexagonal axes)
Asymmetric unit:
Ac  0.0000  0.0000  0.0000 (multiplicity 3)
Ga  0.0000  0.0000  0.1243 (multiplicity 6)
Ga  0.0000  0.0000  0.4036 (multiplicity 6)
Ag  0.0000  0.0000  0.5000 (multiplicity 3)
Pd  0.0000  0.0000  0.2315 (multiplicity 6)

Summary:
ΔH_f (0 K): -487 meV per atom
DOS(E_F): 8.65 states/eV per cell
E: -4.17 eV per atom
Crystal system: trigonal



A geometry-optimized Ac2Ga3AgPd4 structure. Source: the Alexandria database, functional GGA-PBE.

abc: 4.484 4.484 10.582
angles: 90.00 90.00 90.00
Space group P-4m2 (No. 115)
Asymmetric unit:
Ac  0.000  0.500  0.248 (multiplicity 2)
Ga  0.000  0.500  0.884 (multiplicity 2)
Ga  0.500  0.500  0.500 (multiplicity 1)
Ag  0.000  0.000  0.500 (multiplicity 1)
Pd  0.000  0.000  0.000 (multiplicity 1)
Pd  0.000  0.500  0.646 (multiplicity 2)
Pd  0.500  0.500  0.000 (multiplicity 1)

Summary:
ΔH_f (0 K): -729 meV per atom
DOS(E_F): 4.61 states/eV per cell
E: -4.82 eV per atom
Crystal system: tetragonal



A geometry-optimized AcPm2Ga2Ag2 structure. Source: the Alexandria database, functional GGA-PBE.

abc: 4.7389 4.7389 28.4607
angles: 90.00 90.00 120.00
Space group R-3m (No. 166, hexagonal axes)
Asymmetric unit:
Ac  0.0000  0.0000  0.0000 (multiplicity 3)
Pm  0.0000  0.0000  0.1278 (multiplicity 6)
Ga  0.0000  0.0000  0.2524 (multiplicity 6)
Ag  0.0000  0.0000  0.4073 (multiplicity 6)

Summary:
ΔH_f (0 K): -392 meV per atom
DOS(E_F): 12.77 states/eV per cell
E: -4.02 eV per atom
Crystal system: trigonal



A geometry-optimized AcPrGaAg structure. Source: the Alexandria database, functional GGA-PBE.

abc: 7.721 7.721 7.721
angles: 90.00 90.00 90.00
Space group F-43m (No. 216)
Asymmetric unit:
Ac  0.000  0.000  0.000 (multiplicity 4)
Pr  0.000  0.000  0.500 (multiplicity 4)
Ga  0.250  0.250  0.250 (multiplicity 4)
Ag  0.250  0.250  0.750 (multiplicity 4)

Summary:
ΔH_f (0 K): -360 meV per atom
DOS(E_F): 16.62 states/eV per cell
E: -4.05 eV per atom
Crystal system: cubic



A geometry-optimized AcPr2Ga2Ag2 structure. Source: the Alexandria database, functional GGA-PBE.

abc: 4.7545 4.7545 28.8569
angles: 90.00 90.00 120.00
Space group R-3m (No. 166, hexagonal axes)
Asymmetric unit:
Ac  0.0000  0.0000  0.0000 (multiplicity 3)
Pr  0.0000  0.0000  0.1275 (multiplicity 6)
Ga  0.0000  0.0000  0.2543 (multiplicity 6)
Ag  0.0000  0.0000  0.4050 (multiplicity 6)

Summary:
ΔH_f (0 K): -385 meV per atom
DOS(E_F): 14.35 states/eV per cell
E: -4.02 eV per atom
Crystal system: trigonal



A geometry-optimized AcGa2AgPt5 structure. Source: the Alexandria database, functional GGA-PBE.

abc: 4.198 4.198 9.741
angles: 90.00 90.00 90.00
Space group P4/mmm (No. 123)
Asymmetric unit:
Ac  0.000  0.000  0.000 (multiplicity 1)
Ga  0.500  0.500  0.376 (multiplicity 2)
Ag  0.000  0.000  0.500 (multiplicity 1)
Pt  0.000  0.500  0.237 (multiplicity 4)
Pt  0.500  0.500  0.000 (multiplicity 1)

Summary:
ΔH_f (0 K): -489 meV per atom
DOS(E_F): 2.87 states/eV per cell
E: -5.29 eV per atom
Crystal system: tetragonal



A geometry-optimized Ac2Ga3AgPt4 structure. Source: the Alexandria database, functional GGA-PBE.

abc: 4.420 4.420 10.842
angles: 90.00 90.00 90.00
Space group P-4m2 (No. 115)
Asymmetric unit:
Ac  0.000  0.500  0.249 (multiplicity 2)
Ga  0.000  0.500  0.882 (multiplicity 2)
Ga  0.500  0.500  0.500 (multiplicity 1)
Ag  0.000  0.000  0.500 (multiplicity 1)
Pt  0.000  0.000  0.000 (multiplicity 1)
Pt  0.000  0.500  0.650 (multiplicity 2)
Pt  0.500  0.500  0.000 (multiplicity 1)

Summary:
ΔH_f (0 K): -865 meV per atom
DOS(E_F): 5.04 states/eV per cell
E: -5.30 eV per atom
Crystal system: tetragonal



A geometry-optimized AcGaAgPt structure. Source: the Alexandria database, functional GGA-PBE.

abc: 4.267 4.267 10.553
angles: 90.00 90.00 90.00
Space group P4/nmm (No. 129, origin choice 2)
Asymmetric unit:
Ac  0.250  0.250  0.192 (multiplicity 2)
Ga  0.250  0.250  0.652 (multiplicity 2)
Ag  0.250  0.750  0.500 (multiplicity 2)
Pt  0.250  0.250  0.890 (multiplicity 2)

Summary:
ΔH_f (0 K): -599 meV per atom
DOS(E_F): 4.24 states/eV per cell
E: -4.61 eV per atom
Crystal system: tetragonal



A geometry-optimized Ac2Ga4AgPt3 structure. Source: the Alexandria database, functional GGA-PBE.

abc: 4.452 4.452 10.662
angles: 90.00 90.00 90.00
Space group P-4m2 (No. 115)
Asymmetric unit:
Ac  0.000  0.500  0.242 (multiplicity 2)
Ga  0.000  0.000  0.000 (multiplicity 1)
Ga  0.000  0.500  0.631 (multiplicity 2)
Ga  0.500  0.500  0.000 (multiplicity 1)
Ag  0.000  0.000  0.500 (multiplicity 1)
Pt  0.000  0.500  0.872 (multiplicity 2)
Pt  0.500  0.500  0.500 (multiplicity 1)

Summary:
ΔH_f (0 K): -840 meV per atom
DOS(E_F): 7.46 states/eV per cell
E: -4.97 eV per atom
Crystal system: tetragonal



A geometry-optimized Ac2GaAgPt6 structure. Source: the Alexandria database, functional GGA-PBE.

abc: 5.7103 5.7103 24.3833
angles: 90.00 90.00 120.00
Space group R-3m (No. 166, hexagonal axes)
Asymmetric unit:
Ac  0.0000  0.0000  0.2097 (multiplicity 6)
Ga  0.0000  0.0000  0.0000 (multiplicity 3)
Ag  0.0000  0.0000  0.5000 (multiplicity 3)
Pt  0.0076  0.5038  0.2574 (multiplicity 18)

Summary:
ΔH_f (0 K): -646 meV per atom
DOS(E_F): 15.25 states/eV per cell
E: -5.68 eV per atom
Crystal system: trigonal



A geometry-optimized AcGa2AgPt2 structure. Source: the Alexandria database, functional GGA-PBE.

abc: 4.4579 4.4579 7.1659
angles: 90.00 90.00 120.00
Space group P-3m1 (No. 164)
Asymmetric unit:
Ac  0.0000  0.0000  0.0000 (multiplicity 1)
Ga  0.3333  0.6667  0.3253 (multiplicity 2)
Ag  0.0000  0.0000  0.5000 (multiplicity 1)
Pt  0.3333  0.6667  0.7082 (multiplicity 2)

Summary:
ΔH_f (0 K): -767 meV per atom
DOS(E_F): 3.37 states/eV per cell
E: -4.95 eV per atom
Crystal system: trigonal



A geometry-optimized AcGa4AgPt2 structure. Source: the Alexandria database, functional GGA-PBE.

abc: 4.3605 4.3605 28.5630
angles: 90.00 90.00 120.00
Space group R-3m (No. 166, hexagonal axes)
Asymmetric unit:
Ac  0.0000  0.0000  0.0000 (multiplicity 3)
Ga  0.0000  0.0000  0.1255 (multiplicity 6)
Ga  0.0000  0.0000  0.4031 (multiplicity 6)
Ag  0.0000  0.0000  0.5000 (multiplicity 3)
Pt  0.0000  0.0000  0.2376 (multiplicity 6)

Summary:
ΔH_f (0 K): -546 meV per atom
DOS(E_F): 10.13 states/eV per cell
E: -4.44 eV per atom
Crystal system: trigonal



A geometry-optimized AcPuGaAg structure. Source: the Alexandria database, functional GGA-PBE.

abc: 7.618 7.618 7.618
angles: 90.00 90.00 90.00
Space group F-43m (No. 216)
Asymmetric unit:
Ac  0.000  0.000  0.000 (multiplicity 4)
Pu  0.000  0.000  0.500 (multiplicity 4)
Ga  0.250  0.250  0.250 (multiplicity 4)
Ag  0.250  0.250  0.750 (multiplicity 4)

Summary:
ΔH_f (0 K): -155 meV per atom
DOS(E_F): 51.64 states/eV per cell
E: -6.23 eV per atom
Crystal system: cubic



A geometry-optimized Ac2Ga4AgRh3 structure. Source: the Alexandria database, functional GGA-PBE.

abc: 4.444 4.444 10.416
angles: 90.00 90.00 90.00
Space group P-4m2 (No. 115)
Asymmetric unit:
Ac  0.000  0.500  0.249 (multiplicity 2)
Ga  0.000  0.000  0.000 (multiplicity 1)
Ga  0.000  0.500  0.631 (multiplicity 2)
Ga  0.500  0.500  0.000 (multiplicity 1)
Ag  0.000  0.000  0.500 (multiplicity 1)
Rh  0.000  0.500  0.877 (multiplicity 2)
Rh  0.500  0.500  0.500 (multiplicity 1)

Summary:
ΔH_f (0 K): -659 meV per atom
DOS(E_F): 5.55 states/eV per cell
E: -5.18 eV per atom
Crystal system: tetragonal



A geometry-optimized Ac2GaAgSe5 structure. Source: the Alexandria database, functional GGA-PBE.

abc: 4.222 18.962 12.159
angles: 90.00 90.00 90.00
Space group Cmc2_1 (No. 36)
Asymmetric unit:
Ac  0.000  0.123  0.000 (multiplicity 4)
Ac  0.000  0.126  0.614 (multiplicity 4)
Ga  0.000  0.431  0.766 (multiplicity 4)
Ag  0.000  0.228  0.342 (multiplicity 4)
Se  0.000  0.039  0.372 (multiplicity 4)
Se  0.000  0.290  0.988 (multiplicity 4)
Se  0.000  0.317  0.678 (multiplicity 4)
Se  0.000  0.367  0.310 (multiplicity 4)
Se  0.000  0.496  0.590 (multiplicity 4)

Summary:
E: -4.80 eV per atom
Energy relative to the elements, uncorrected: -1.298 eV per atom
Crystal system: orthorhombic



A geometry-optimized AcGaAg2Se4 structure. Source: the Alexandria database, functional GGA-PBE.

abc: 11.683 11.537 8.260
angles: 90.00 131.81 90.00
Space group C2/c (No. 15)
Asymmetric unit:
Ac  0.250  0.250  0.000 (multiplicity 4)
Ga  0.000  0.000  0.000 (multiplicity 4)
Ag  0.000  0.500  0.000 (multiplicity 4)
Ag  0.250  0.250  0.500 (multiplicity 4)
Se  0.010  0.219  0.496 (multiplicity 8)
Se  0.247  0.014  0.431 (multiplicity 8)

Summary:
DOS(E_F): 1.25 states/eV per cell
E: -4.02 eV per atom
Energy relative to the elements, uncorrected: -0.674 eV per atom
Crystal system: monoclinic



A geometry-optimized AcGa2SiAg structure. Source: the Alexandria database, functional GGA-PBE.

abc: 4.492 4.573 10.458
angles: 90.00 90.00 90.00
Space group Imm2 (No. 44)
Asymmetric unit:
Ac  0.000  0.000  0.000 (multiplicity 2)
Ga  0.000  0.000  0.619 (multiplicity 2)
Ga  0.000  0.500  0.254 (multiplicity 2)
Si  0.000  0.000  0.382 (multiplicity 2)
Ag  0.000  0.500  0.754 (multiplicity 2)

Summary:
DOS(E_F): 1.89 states/eV per cell
E: -4.11 eV per atom
Energy relative to the elements, uncorrected: -0.422 eV per atom
Crystal system: orthorhombic



A geometry-optimized AcSm2Ga2Ag2 structure. Source: the Alexandria database, functional GGA-PBE.

abc: 4.7342 4.7342 28.3153
angles: 90.00 90.00 120.00
Space group R-3m (No. 166, hexagonal axes)
Asymmetric unit:
Ac  0.0000  0.0000  0.0000 (multiplicity 3)
Sm  0.0000  0.0000  0.1280 (multiplicity 6)
Ga  0.0000  0.0000  0.2517 (multiplicity 6)
Ag  0.0000  0.0000  0.4083 (multiplicity 6)

Summary:
ΔH_f (0 K): -392 meV per atom
DOS(E_F): 12.04 states/eV per cell
E: -4.01 eV per atom
Crystal system: trigonal



A geometry-optimized Ac2GaAg4Sn2 structure. Source: the Alexandria database, functional GGA-PBE.

abc: 6.779 6.779 10.167
angles: 90.00 90.00 90.00
Space group I4/mmm (No. 139)
Asymmetric unit:
Ac  0.000  0.500  0.250 (multiplicity 4)
Ga  0.000  0.000  0.000 (multiplicity 2)
Ag  0.229  0.229  0.500 (multiplicity 8)
Sn  0.000  0.000  0.313 (multiplicity 4)

Summary:
ΔH_f (0 K): -333 meV per atom
DOS(E_F): 5.04 states/eV per cell
E: -3.74 eV per atom
Crystal system: tetragonal



A geometry-optimized Ac2GaAg4Sn3 structure. Source: the Alexandria database, functional GGA-PBE.

abc: 4.687 4.687 11.486
angles: 90.00 90.00 90.00
Space group P-4m2 (No. 115)
Asymmetric unit:
Ac  0.000  0.500  0.249 (multiplicity 2)
Ga  0.500  0.500  0.000 (multiplicity 1)
Ag  0.000  0.000  0.500 (multiplicity 1)
Ag  0.000  0.500  0.872 (multiplicity 2)
Ag  0.500  0.500  0.500 (multiplicity 1)
Sn  0.000  0.000  0.000 (multiplicity 1)
Sn  0.000  0.500  0.635 (multiplicity 2)

Summary:
ΔH_f (0 K): -420 meV per atom
DOS(E_F): 4.22 states/eV per cell
E: -3.89 eV per atom
Crystal system: tetragonal



A geometry-optimized Ac2Ga4Ag3Sn structure. Source: the Alexandria database, functional GGA-PBE.

abc: 4.544 4.544 11.263
angles: 90.00 90.00 90.00
Space group P-4m2 (No. 115)
Asymmetric unit:
Ac  0.000  0.500  0.242 (multiplicity 2)
Ga  0.000  0.000  0.000 (multiplicity 1)
Ga  0.000  0.500  0.646 (multiplicity 2)
Ga  0.500  0.500  0.000 (multiplicity 1)
Ag  0.000  0.500  0.875 (multiplicity 2)
Ag  0.500  0.500  0.500 (multiplicity 1)
Sn  0.000  0.000  0.500 (multiplicity 1)

Summary:
ΔH_f (0 K): -420 meV per atom
DOS(E_F): 3.87 states/eV per cell
E: -3.71 eV per atom
Crystal system: tetragonal



A geometry-optimized Ac2Ga3Ag4Sn structure. Source: the Alexandria database, functional GGA-PBE.

abc: 4.625 4.625 11.008
angles: 90.00 90.00 90.00
Space group P-4m2 (No. 115)
Asymmetric unit:
Ac  0.000  0.500  0.242 (multiplicity 2)
Ga  0.000  0.500  0.876 (multiplicity 2)
Ga  0.500  0.500  0.500 (multiplicity 1)
Ag  0.000  0.000  0.000 (multiplicity 1)
Ag  0.000  0.500  0.641 (multiplicity 2)
Ag  0.500  0.500  0.000 (multiplicity 1)
Sn  0.000  0.000  0.500 (multiplicity 1)

Summary:
ΔH_f (0 K): -380 meV per atom
DOS(E_F): 6.69 states/eV per cell
E: -3.65 eV per atom
Crystal system: tetragonal